# GaCuAs2Br

Crystalline GaCuAs2Br at its relaxed geometry (PBE-GGA, Alexandria).

Cell lengths 4.9172, 4.9172, 5.2664 Å; angles 90.00, 90.00, 90.00 degrees
Last column: magnetic moment on the atom in μB.
Positions (direct):
As 0.0000 0.5000 0.0000  0.16
As 0.5000 0.0000 0.0000  0.16
Cu 0.5000 0.5000 0.5000  0.04
Ga 0.0000 0.0000 0.0000  0.00
Br 0.0000 0.0000 0.5000  0.09

Output
The calculation puts the density of states at the Fermi level at 4.68 states/eV/cell. As for the crystal system: tetragonal. The calculation puts the energy at -14.132 eV for the cell shown. The total magnetization is 0.159 μB per atom. As for the uncorrected formation energy: 0.793 eV per atom. Its energy above the lowest structure with this stoichiometry is 404.1 meV/atom.



# CuGeAs2Br

Crystalline CuGeAs2Br at its relaxed geometry (PBE-GGA, Alexandria).

Cell lengths 4.9871, 4.9871, 5.2452 Å; angles 90.00, 90.00, 90.00 degrees
Last column: magnetic moment on the atom in μB.
Positions (direct):
As 0.0000 0.5000 0.0000  0.18
As 0.5000 0.0000 0.0000  0.18
Cu 0.5000 0.5000 0.5000  0.05
Ge 0.0000 0.0000 0.0000  -0.01
Br 0.0000 0.0000 0.5000  0.09

Output
The calculation puts the density of states at the Fermi level at 4.53 states/eV/cell. As for the crystal system: tetragonal. The calculation puts the energy at -15.289 eV for the cell shown. The total magnetization is 0.171 μB per atom. As for the uncorrected formation energy: 0.879 eV per atom. Its energy above the lowest structure with this stoichiometry is 295.3 meV/atom.



# CuGeAs2Br

Crystalline CuGeAs2Br at its relaxed geometry (PBE-GGA, Alexandria).

Cell lengths 4.6258, 4.6258, 5.4311 Å; angles 90.00, 90.00, 90.00 degrees
Last column: magnetic moment on the atom in μB.
Positions (direct):
As 0.0000 0.5000 0.0000  0.14
As 0.5000 0.0000 0.0000  0.14
Cu 0.0000 0.0000 0.0000  0.04
Ge 0.5000 0.5000 0.5000  -0.03
Br 0.0000 0.0000 0.5000  0.07

Output
The calculation puts the density of states at the Fermi level at 3.79 states/eV/cell. As for the crystal system: tetragonal. The calculation puts the energy at -16.766 eV for the cell shown. The total magnetization is 0.130 μB per atom. As for the uncorrected formation energy: 0.584 eV per atom. Its energy above the lowest structure with this stoichiometry is 0.0 meV/atom.



# CuAs2HBr

Crystalline CuAs2HBr at its relaxed geometry (PBE-GGA, Alexandria).

Cell lengths 4.6679, 4.6679, 5.4355 Å; angles 90.00, 90.00, 90.00 degrees
Last column: magnetic moment on the atom in μB.
Positions (direct):
H 0.5000 0.5000 0.5000  0.36
As 0.0000 0.5000 0.0000  -0.16
As 0.5000 0.0000 0.0000  -0.16
Cu 0.0000 0.0000 0.0000  -0.05
Br 0.0000 0.0000 0.5000  -0.01

Output
The calculation puts the density of states at the Fermi level at 4.98 states/eV/cell. As for the crystal system: tetragonal. The calculation puts the energy at -13.692 eV for the cell shown. The total magnetization is 0.034 μB per atom. Its energy above the lowest structure with this stoichiometry is 409.1 meV/atom.



Question: energy of number 2 (CuGeAs2Br)?
Answer: -15.289 eV for the cell shown



Question: What is the formula in the second record?
Answer: CuGeAs2Br



Question: Look up the energy above the lowest structure with this stoichiometry of the second one.
Answer: 295.3 meV/atom